# 1
First-principles (GGA-PBE) data for ZrSnSe3 after structural relaxation, as listed in Alexandria.

a b c (Å): 5.163 5.163 5.163
angles (deg): 90.00 90.00 90.00
Positions (direct):
Zr  0.000  0.000  0.000
Sn  0.500  0.500  0.500
Se  0.000  0.500  0.500
Se  0.500  0.000  0.500
Se  0.500  0.500  0.000

Its size of the total moment is 0.0 μB/f.u. For the density of states at the Fermi level, the calculation gives 8.90 states/eV per cell. Its formation energy from raw total energies is 0.33 eV per atom. Its energy is -0.3142 Ry/atom.

# 2
First-principles (GGA-PBE) data for ZrSnSe after structural relaxation, as listed in Alexandria.

a b c (Å): 8.945 8.945 8.945
angles (deg): 154.29 154.29 36.68
Positions (direct):
Zr  0.143  0.143  0.000
Zr  0.857  0.857  0.000
Sn  0.000  0.500  0.500
Sn  0.500  0.000  0.500
Se  0.309  0.309  0.000
Se  0.691  0.691  0.000

Its size of the total moment is 0.0 μB/f.u. For the density of states at the Fermi level, the calculation gives 3.55 states/eV per cell. Its formation energy from raw total energies is -0.75 eV per atom. Its energy is -0.4481 Ry/atom.

# 3
First-principles (GGA-PBE) data for ZrSnSe4 after structural relaxation, as listed in Alexandria.

a b c (Å): 6.799 3.782 6.807
angles (deg): 90.00 91.55 90.00
Positions (direct):
Zr  0.000  0.000  0.000
Sn  0.000  0.500  0.500
Se  0.234  0.000  0.676
Se  0.237  0.500  0.166
Se  0.763  0.500  0.834
Se  0.766  0.000  0.324

Its size of the total moment is 0.0 μB/f.u. For the density of states at the Fermi level, the calculation gives 1.69 states/eV per cell. Its formation energy from raw total energies is -0.78 eV per atom. Its energy is -0.3822 Ry/atom.

# 4
First-principles (GGA-PBE) data for Zr3Sn2Se8 after structural relaxation, as listed in Alexandria.

a b c (Å): 8.327 8.327 6.809
angles (deg): 105.11 105.11 55.66
Positions (direct):
Zr  0.000  0.000  0.000
Zr  0.264  0.736  0.500
Zr  0.736  0.264  0.500
Sn  0.244  0.244  0.828
Sn  0.756  0.756  0.172
Se  0.108  0.108  0.398
Se  0.131  0.646  0.099
Se  0.354  0.869  0.901
Se  0.386  0.386  0.566
Se  0.614  0.614  0.434
Se  0.646  0.131  0.099
Se  0.869  0.354  0.901
Se  0.892  0.892  0.602

Its size of the total moment is 0.0 μB/f.u. Its formation energy from raw total energies is -1.00 eV per atom. Its energy is -0.4217 Ry/atom.